A relaxed structure of Ho3Ga4Au4. Source: Alexandria via LeMat-Bulk, functional GGA-PBE.

Output
VASP energy (eV/cell): -46.57
Energy of formation (eV per atom): -0.693
Total magnetic moment (μB/cell): 0.0
ΔE to the lowest computed polymorph (meV per atom): 0

a = 3.5527 Å, b = 4.4981 Å, c = 14.3488 Å
α = 99.00°, β = 97.02°, γ = 90.02°
Closest atoms and distances in Å follow each position.
Fractional coordinates of all 11 atoms:
Ho  0.0000  0.0000  0.0000  8 Au 3.18-3.19, 4 Ga 3.19-3.20, 2 Ho 3.55
Ho  0.1422  0.6408  0.2842  6 Au 3.12-3.16, 6 Ga 3.16-3.27
Ho  0.8578  0.3592  0.7158  6 Au 3.12-3.16, 6 Ga 3.16-3.27
Ga  0.2595  0.2610  0.5205  4 Au 2.70-2.73, 4 Ga 2.92-2.93
Ga  0.4054  0.9064  0.8113  3 Au 2.58-2.59
Ga  0.5946  0.0936  0.1887  3 Au 2.58-2.59
Ga  0.7405  0.7390  0.4795  4 Au 2.70-2.73, 4 Ga 2.92-2.93
Au  0.3141  0.8150  0.6272  5 Ga 2.59-2.73
Au  0.4521  0.4511  0.9012  2 Ga 2.58, 1 Au 2.78
Au  0.5479  0.5489  0.0988  2 Ga 2.58, 1 Au 2.78
Au  0.6859  0.1850  0.3728  5 Ga 2.59-2.73